(1)
Compound: CrNiPt2
Source: Alexandria
Functional: PBE-GGA
Structure: optimized geometry

The structure in POSCAR format:
```
CrNiPt2
1.0
8.763 0.013 0.007
8.343 2.679 0.007
8.343 1.313 2.335
Cr Ni Pt
1 1 2
direct
0.250 0.250 0.250 Cr
0.750 0.750 0.750 Ni
0.999 0.999 0.999 Pt
0.501 0.501 0.501 Pt
```

Summary:
DFT total energy = -6.963 eV/atom
calculated volume = 13.60 A^3/atom



(2)
Compound: CrNi3Pt
Source: Alexandria
Functional: PBE-GGA
Structure: optimized geometry

The structure in POSCAR format:
```
CrNi3Pt
1.0
-2.955 1.665 1.322
-1.937 -2.703 -5.936
-0.804 -3.943 3.170
Cr Ni Pt
2 6 2
direct
0.501 0.002 0.274 Cr
0.499 0.998 0.726 Cr
0.099 0.198 0.550 Ni
0.901 0.802 0.450 Ni
0.300 0.601 0.161 Ni
0.700 0.399 0.839 Ni
0.298 0.596 0.641 Ni
0.702 0.404 0.359 Ni
0.897 0.794 0.948 Pt
0.103 0.206 0.052 Pt
```

Summary:
energy above the lowest structure with this stoichiometry = 0.0000 eV per atom
calculated volume = 11.99 A^3/atom